No. 1
First-principles (PBE-GGA) data for a relaxed structure of BaCaF4, as listed in Alexandria.

Output
- Raw total energy: -5.75 eV per atom
- Offset from the most stable computed form: 8 meV/atom
- Formation energy without anion corrections: -372 kJ per mole of atoms
- Mass density: 4.1 g cm⁻³

```
BaCaF4
1.0
4.134 0.000 0.000
0.000 4.134 0.000
0.000 0.000 6.020
Ba Ca F
1 1 4
Direct
0.000 0.000 0.000
0.500 0.500 0.500
0.500 0.000 0.724
0.000 0.500 0.724
0.500 0.000 0.276
0.000 0.500 0.276
```

=====

No. 2
First-principles (PBE-GGA) data for a relaxed structure of BaCaF3, as listed in Alexandria.

Output
- Raw total energy: -5.10 eV per atom
- Offset from the most stable computed form: 0 meV/atom
- Formation energy without anion corrections: -308 kJ per mole of atoms
- Mass density: 4.0 g cm⁻³

```
BaCaF3
1.0
4.602 0.000 0.000
0.000 4.602 0.000
0.000 0.000 4.602
Ca Ba F
1 1 3
Direct
0.000 0.000 0.000
0.500 0.500 0.500
0.000 0.500 0.000
0.000 0.000 0.500
0.500 0.000 0.000
```

=====

No. 3
First-principles (PBE-GGA) data for a relaxed structure of Ba4Ca6F19, as listed in Alexandria.

Output
- Raw total energy: -5.64 eV per atom
- Formation energy without anion corrections: -361 kJ per mole of atoms
- Mass density: 3.4 g cm⁻³

```
Ba4Ca6F19
1.0
8.530 0.000 -3.016
-4.265 7.388 -3.016
0.000 0.000 9.048
Ba Ca F
4 6 19
Direct
0.000 0.000 0.696
0.000 0.696 0.000
0.304 0.304 0.304
0.696 0.000 0.000
0.333 0.500 0.833
0.667 0.500 0.167
0.167 0.667 0.500
0.833 0.333 0.500
0.500 0.833 0.333
0.500 0.167 0.667
0.646 0.000 0.646
0.354 0.000 0.354
0.354 0.354 0.000
0.646 0.646 0.000
0.000 0.646 0.646
0.000 0.354 0.354
0.000 0.000 0.000
0.347 0.312 0.607
0.653 0.259 0.965
0.705 0.741 0.393
0.965 0.653 0.259
0.295 0.688 0.035
0.607 0.347 0.312
0.035 0.295 0.688
0.393 0.705 0.741
0.688 0.035 0.295
0.259 0.965 0.653
0.312 0.607 0.347
0.741 0.393 0.705
```

=====

No. 4
First-principles (PBE-GGA) data for a relaxed structure of BaCaF, as listed in Alexandria.

Output
- Raw total energy: -3.73 eV per atom
- Offset from the most stable computed form: 88 meV/atom
- Formation energy without anion corrections: -173 kJ per mole of atoms
- Mass density: 3.2 g cm⁻³

```
BaCaF
1.0
4.021 0.004 -0.010
-0.007 6.999 -0.018
-1.992 -1.016 7.275
Ca Ba F
2 2 2
Direct
0.000 0.500 0.000
0.500 0.000 0.000
0.730 0.745 0.461
0.270 0.255 0.539
0.538 0.691 0.078
0.462 0.309 0.922
```

=====

No. 5
First-principles (PBE-GGA) data for a relaxed structure of Ba5Ca2F12, as listed in Alexandria.

Output
- Raw total energy: -5.49 eV per atom
- Formation energy without anion corrections: -346 kJ per mole of atoms
- Mass density: 4.1 g cm⁻³

```
Ba5Ca2F12
1.0
-3.475 -0.644 6.216
-1.650 -4.984 -5.552
7.083 -3.328 3.616
Ba Ca F
5 2 12
Direct
0.312 0.624 0.632
0.283 0.565 0.145
0.000 0.000 0.500
0.717 0.435 0.855
0.688 0.376 0.368
0.759 0.000 0.000
0.241 0.000 0.000
0.922 0.844 0.094
0.134 0.658 0.903
0.524 0.658 0.903
0.104 0.693 0.405
0.590 0.693 0.405
0.509 0.018 0.831
0.491 0.982 0.169
0.896 0.307 0.595
0.410 0.307 0.595
0.866 0.342 0.097
0.476 0.342 0.097
0.078 0.156 0.906
```

=====

No. 6
First-principles (PBE-GGA) data for a relaxed structure of BaCaF, as listed in Alexandria.

Output
- Raw total energy: -3.77 eV per atom
- Offset from the most stable computed form: 45 meV/atom
- Formation energy without anion corrections: -177 kJ per mole of atoms
- Mass density: 3.2 g cm⁻³

```
BaCaF
1.0
-0.602 5.880 3.192
0.504 -2.087 3.940
6.682 0.308 -0.691
Ca Ba F
2 2 2
Direct
0.291 0.000 0.643
0.809 0.000 0.161
0.313 0.500 0.117
0.766 0.500 0.665
0.552 0.000 0.909
0.356 0.500 0.707
```

=====

No. 7
First-principles (PBE-GGA) data for a relaxed structure of BaCaF, as listed in Alexandria.

Output
- Raw total energy: -3.73 eV per atom
- Offset from the most stable computed form: 82 meV/atom
- Formation energy without anion corrections: -174 kJ per mole of atoms
- Mass density: 3.2 g cm⁻³

```
BaCaF
1.0
-3.167 3.170 -0.725
-4.694 -4.122 2.387
-2.795 1.848 7.041
Ca Ba F
2 2 2
Direct
0.872 0.460 0.332
0.093 0.256 0.790
0.348 0.963 0.301
0.617 0.732 0.849
0.024 0.148 0.558
0.411 0.556 0.259
```

=====

No. 8
First-principles (PBE-GGA) data for a relaxed structure of BaCaGaF7, as listed in Alexandria.

Output
- Raw total energy: -5.45 eV per atom
- Formation energy without anion corrections: -332 kJ per mole of atoms
- Mass density: 4.3 g cm⁻³

```
BaCaGaF7
1.0
5.519 0.000 0.000
0.000 5.488 0.001
0.000 4.690 19.313
Ba Ca Ga F
4 4 4 28
Direct
0.243 0.318 0.432
0.757 0.682 0.568
0.757 0.318 0.932
0.243 0.682 0.068
0.324 0.500 0.750
0.676 0.500 0.250
0.791 0.000 0.750
0.209 0.000 0.250
0.225 0.178 0.619
0.775 0.178 0.119
0.225 0.822 0.881
0.775 0.822 0.381
0.055 0.844 0.436
0.055 0.156 0.064
0.945 0.156 0.564
0.945 0.844 0.936
0.024 0.347 0.677
0.024 0.653 0.823
0.976 0.653 0.323
0.976 0.347 0.177
0.284 0.501 0.557
0.284 0.499 0.943
0.716 0.499 0.443
0.716 0.501 0.057
0.591 0.028 0.061
0.591 0.972 0.439
0.409 0.972 0.939
0.409 0.028 0.561
0.871 0.875 0.184
0.871 0.125 0.316
0.129 0.125 0.816
0.129 0.875 0.684
0.491 0.754 0.825
0.491 0.246 0.675
0.509 0.246 0.175
0.509 0.754 0.325
0.371 0.732 0.192
0.371 0.268 0.308
0.629 0.268 0.808
0.629 0.732 0.692
```

=====

No. 9
First-principles (PBE-GGA) data for a relaxed structure of BaCaGaF2, as listed in Alexandria.

Output
- Raw total energy: -3.99 eV per atom
- Formation energy without anion corrections: -179 kJ per mole of atoms
- Mass density: 2.3 g cm⁻³

```
BaCaGaF2
1.0
-4.115 1.671 -0.576
-3.212 -9.088 -3.421
-1.071 -1.196 4.182
Ca Ba Ga F
1 1 1 2
Direct
0.000 0.000 0.000
0.000 0.500 0.000
0.500 0.500 0.500
0.000 0.000 0.500
0.500 0.000 0.000
```

=====

No. 10
First-principles (PBE-GGA) data for a relaxed structure of BaCaHf2F, as listed in Alexandria.

Output
- Raw total energy: -3.68 eV per atom
- Formation energy without anion corrections: 141 kJ per mole of atoms
- Mass density: 5.0 g cm⁻³

```
BaCaHf2F
1.0
-1.724 -2.243 4.558
0.259 -4.845 -2.287
6.068 -0.616 1.992
Ca Hf Ba F
1 2 1 1
Direct
0.000 0.000 0.500
0.000 0.500 0.000
0.500 0.000 0.000
0.000 0.000 0.000
0.500 0.500 0.500
```

=====

No. 11
First-principles (PBE-GGA) data for a relaxed structure of BaCaIF2, as listed in Alexandria.

Output
- Raw total energy: -4.09 eV per atom
- Formation energy without anion corrections: -217 kJ per mole of atoms
- Mass density: 2.6 g cm⁻³

```
BaCaIF2
1.0
-4.040 0.530 -2.763
3.238 -5.976 -5.882
-2.184 -3.639 2.495
I Ca Ba F
1 1 1 2
Direct
0.500 0.500 0.500
0.000 0.500 0.000
0.000 0.000 0.000
0.000 0.000 0.500
0.500 0.000 0.000
```

=====

No. 12
First-principles (PBE-GGA) data for a relaxed structure of K2BaCaF6, as listed in Alexandria.

Output
- Raw total energy: -5.14 eV per atom
- Formation energy without anion corrections: -328 kJ per mole of atoms
- Mass density: 3.1 g cm⁻³

```
K2BaCaF6
1.0
6.438 0.000 -0.036
0.000 6.667 0.000
0.004 0.000 9.193
K Ba Ca F
4 2 2 12
Direct
0.018 0.949 0.253
0.518 0.551 0.753
0.982 0.051 0.747
0.482 0.449 0.247
0.500 0.000 0.000
0.000 0.500 0.500
0.500 0.000 0.500
0.000 0.500 0.000
0.283 0.687 0.059
0.783 0.813 0.559
0.717 0.313 0.941
0.217 0.187 0.441
0.318 0.720 0.429
0.818 0.780 0.929
0.682 0.280 0.571
0.182 0.220 0.071
0.880 0.560 0.231
0.380 0.940 0.731
0.120 0.440 0.769
0.620 0.060 0.269
```

=====

No. 13
First-principles (PBE-GGA) data for a relaxed structure of KBa2CaF, as listed in Alexandria.

Output
- Raw total energy: -2.73 eV per atom
- Formation energy without anion corrections: -94 kJ per mole of atoms
- Mass density: 2.9 g cm⁻³

```
KBa2CaF
1.0
5.780 0.000 0.000
0.000 5.780 0.000
0.000 0.000 6.464
K Ca Ba F
1 1 2 1
Direct
0.000 0.000 0.500
0.500 0.500 0.500
0.000 0.500 0.000
0.500 0.000 0.000
0.000 0.000 0.000
```

=====

No. 14
First-principles (PBE-GGA) data for a relaxed structure of Ba2CaLaF, as listed in Alexandria.

Output
- Raw total energy: -3.46 eV per atom
- Formation energy without anion corrections: -90 kJ per mole of atoms
- Mass density: 4.1 g cm⁻³

```
Ba2CaLaF
1.0
6.194 0.000 0.000
0.000 6.194 0.000
0.000 0.000 5.016
Ca F Ba La
1 1 2 1
Direct
0.500 0.500 0.500
0.000 0.000 0.000
0.000 0.500 0.000
0.500 0.000 0.000
0.000 0.000 0.500
```

=====

No. 15
First-principles (PBE-GGA) data for a relaxed structure of Ba2LiCaF6, as listed in Alexandria.

Output
- Raw total energy: -5.19 eV per atom
- Formation energy without anion corrections: -318 kJ per mole of atoms
- Mass density: 4.5 g cm⁻³

```
Ba2LiCaF6
1.0
-1.674 3.570 -4.605
1.872 -4.222 -3.954
-7.924 -3.599 0.091
Ba Li Ca F
4 2 2 12
Direct
0.500 0.750 0.249
0.000 0.250 0.749
0.500 0.750 0.751
0.000 0.250 0.251
0.500 0.250 0.500
0.000 0.750 0.000
0.000 0.750 0.500
0.500 0.250 0.000
0.500 0.250 0.257
0.500 0.250 0.743
0.000 0.750 0.243
0.000 0.750 0.757
0.259 0.010 0.500
0.741 0.010 0.500
0.259 0.490 0.500
0.741 0.490 0.500
0.759 0.510 0.000
0.241 0.510 0.000
0.241 0.990 0.000
0.759 0.990 0.000
```

=====

No. 16
First-principles (PBE-GGA) data for a relaxed structure of Ba2CaMgF, as listed in Alexandria.

Output
- Raw total energy: -2.10 eV per atom
- Offset from the most stable computed form: 859 meV/atom
- Formation energy without anion corrections: -23 kJ per mole of atoms
- Mass density: 2.1 g cm⁻³

```
Ba2CaMgF
1.0
-0.325 4.906 4.749
3.490 -3.260 3.607
5.544 2.965 -2.684
Mg Ca Ba F
1 1 2 1
Direct
0.000 0.000 0.000
0.000 0.500 0.000
0.000 0.000 0.500
0.500 0.000 0.000
0.500 0.500 0.500
```

=====

No. 17
First-principles (PBE-GGA) data for a relaxed structure of Ba2CaMgF, as listed in Alexandria.

Output
- Raw total energy: -2.96 eV per atom
- Offset from the most stable computed form: 0 meV/atom
- Formation energy without anion corrections: -106 kJ per mole of atoms
- Mass density: 3.4 g cm⁻³

```
Ba2CaMgF
1.0
-4.446 -1.961 -3.898
2.212 -5.810 0.401
-2.756 -0.804 3.547
Mg Ca Ba F
1 1 2 1
Direct
0.500 0.500 0.500
0.000 0.000 0.500
0.000 0.500 0.000
0.500 0.000 0.000
0.000 0.000 0.000
```

=====

No. 18
First-principles (PBE-GGA) data for a relaxed structure of BaCaMgF6, as listed in Alexandria.

Output
- Raw total energy: -5.62 eV per atom
- Formation energy without anion corrections: -362 kJ per mole of atoms
- Mass density: 3.4 g cm⁻³

```
BaCaMgF6
1.0
-2.815 -4.989 0.097
3.718 1.273 4.169
-8.065 4.663 5.770
Ba Ca Mg F
2 2 2 12
Direct
0.000 0.000 0.000
0.000 0.000 0.500
0.333 0.667 0.250
0.667 0.333 0.750
0.667 0.333 0.250
0.333 0.667 0.750
0.648 0.617 0.146
0.969 0.352 0.146
0.352 0.969 0.646
0.031 0.648 0.854
0.383 0.352 0.354
0.969 0.617 0.354
0.617 0.969 0.854
0.648 0.031 0.354
0.031 0.383 0.646
0.383 0.031 0.146
0.617 0.648 0.646
0.352 0.383 0.854
```

=====

No. 19
First-principles (PBE-GGA) data for a relaxed structure of BaCaN2F, as listed in Alexandria.

Output
- Raw total energy: -4.56 eV per atom
- Offset from the most stable computed form: 618 meV/atom
- Formation energy without anion corrections: -7 kJ per mole of atoms
- Mass density: 3.5 g cm⁻³

```
BaCaN2F
1.0
-0.932 2.198 -4.025
-2.459 -3.707 -1.454
-4.046 1.908 1.979
Ca N Ba F
1 2 1 1
Direct
0.500 0.500 0.500
0.000 0.500 0.000
0.500 0.000 0.000
0.000 0.000 0.000
0.000 0.000 0.500
```

=====

No. 20
First-principles (PBE-GGA) data for a relaxed structure of BaCaN2F, as listed in Alexandria.

Output
- Raw total energy: -5.18 eV per atom
- Offset from the most stable computed form: 0 meV/atom
- Formation energy without anion corrections: -66 kJ per mole of atoms
- Mass density: 3.9 g cm⁻³

```
BaCaN2F
1.0
-0.479 -2.841 -3.669
2.349 -3.329 2.272
-3.757 -1.515 1.664
Ca N Ba F
1 2 1 1
Direct
0.000 0.000 0.000
0.000 0.500 0.000
0.500 0.000 0.000
0.500 0.500 0.500
0.000 0.000 0.500
```